# NiPO2F

An optimized crystal structure of NiPO2F (GGA+U, the Alexandria database).

a = 3.850 Å, b = 3.850 Å, c = 3.718 Å
α = 90.00°, β = 90.00°, γ = 90.00°
Atoms (fractional coordinates):
P 0.500 0.500 0.500
O 0.000 0.500 0.000
Ni 0.000 0.000 0.000
O 0.500 0.000 0.000
F 0.000 0.000 0.500

- Fermi-level density of states (states/eV/atom) = 0.3550
- total energy (eV per atom) = -4.20
- SG = No. 123